## SmGa4CoNi2 (PBE-GGA)

Data for SmGa4CoNi2 after structural relaxation.

Unit cell a=9.0399 b=9.0399 c=9.0399 alpha=26.08 beta=26.08 gamma=26.08
Fractional coordinates of all 8 atoms:
Sm 0.0000 0.0000 0.0000
Ga 0.1331 0.1331 0.1331
Ga 0.4051 0.4051 0.4051
Ga 0.5949 0.5949 0.5949
Ga 0.8669 0.8669 0.8669
Co 0.5000 0.5000 0.5000
Ni 0.2299 0.2299 0.2299
Ni 0.7701 0.7701 0.7701

Results
* DFT total energy: -4.89 eV/atom
* SG: R-3m



## La4Pm2Tm7 (PBE-GGA)

Data for La4Pm2Tm7 after structural relaxation.

Unit cell a=6.4641 b=6.5255 c=11.5850 alpha=90.18 beta=101.86 gamma=114.01
Fractional coordinates of all 13 atoms:
La 0.1176 0.1354 0.3627
La 0.2689 0.7031 0.4656
La 0.7311 0.2969 0.5344
La 0.8824 0.8646 0.6373
Pm 0.4392 0.7135 0.0166
Pm 0.5608 0.2865 0.9834
Tm 0.0000 0.0000 0.0000
Tm 0.0524 0.5358 0.1716
Tm 0.3576 0.3900 0.6983
Tm 0.4715 0.9290 0.7583
Tm 0.5285 0.0710 0.2417
Tm 0.6424 0.6100 0.3017
Tm 0.9476 0.4642 0.8284

Results
* DFT total energy: -4.51 eV/atom
* SG: P-1



## GaMo2S (PBE-GGA)

Data for GaMo2S after structural relaxation.

Unit cell a=4.3477 b=4.3477 c=4.3477 alpha=60.00 beta=60.00 gamma=60.00
Fractional coordinates of all 4 atoms:
Ga 0.0000 0.0000 0.0000
Mo 0.2500 0.2500 0.2500
Mo 0.7500 0.7500 0.7500
S 0.5000 0.5000 0.5000

Results
* DFT total energy: -7.02 eV/atom
* E_form (uncorrected): 181 meV/atom
* SG: Fm-3m



## LiZrSe2 (PBE-GGA)

Data for LiZrSe2 after structural relaxation.

Unit cell a=3.4091 b=3.3821 c=7.1628 alpha=90.00 beta=103.53 gamma=90.00
Fractional coordinates of all 4 atoms:
Li 0.0000 0.0000 0.0000
Zr 0.5000 0.0000 0.5000
Se 0.1110 0.5000 0.7304
Se 0.8890 0.5000 0.2696

Results
* DFT total energy: -5.52 eV/atom
* E_form (uncorrected): -1165 meV/atom
* SG: P2/m



## Pm3Pr9Sm2 (PBE-GGA)

Data for Pm3Pr9Sm2 after structural relaxation.

Unit cell a=9.2612 b=9.2612 c=13.9852 alpha=90.00 beta=90.00 gamma=120.00
Fractional coordinates of all 28 atoms:
Pm 0.0807 0.2497 0.2500
Pm 0.1689 0.9193 0.2500
Pm 0.2497 0.1689 0.7500
Pm 0.7503 0.8311 0.2500
Pm 0.8311 0.0807 0.7500
Pm 0.9193 0.7503 0.7500
Pr 0.0803 0.4797 0.7500
Pr 0.1300 0.7236 0.5403
Pr 0.1300 0.7236 0.9597
Pr 0.2764 0.4064 0.5403
Pr 0.2764 0.4064 0.9597
Pr 0.3993 0.9197 0.7500
Pr 0.4064 0.1300 0.0403
Pr 0.4064 0.1300 0.4597
Pr 0.4797 0.3993 0.2500
Pr 0.5203 0.6007 0.7500
Pr 0.5936 0.8700 0.5403
Pr 0.5936 0.8700 0.9597
Pr 0.6007 0.0803 0.2500
Pr 0.7236 0.5936 0.0403
Pr 0.7236 0.5936 0.4597
Pr 0.8700 0.2764 0.0403
Pr 0.8700 0.2764 0.4597
Pr 0.9197 0.5203 0.2500
Sm 0.3333 0.6667 0.1414
Sm 0.3333 0.6667 0.3586
Sm 0.6667 0.3333 0.6414
Sm 0.6667 0.3333 0.8586

Results
* DFT total energy: -4.54 eV/atom
* SG: P6_3/m



## Cu2SiPt (PBE-GGA)

Data for Cu2SiPt after structural relaxation.

Unit cell a=4.2004 b=4.2004 c=4.2004 alpha=60.00 beta=60.00 gamma=60.00
Fractional coordinates of all 4 atoms:
Cu 0.0000 0.0000 0.0000
Cu 0.2500 0.2500 0.2500
Si 0.5000 0.5000 0.5000
Pt 0.7500 0.7500 0.7500

Results
* DFT total energy: -5.14 eV/atom
* E_form (uncorrected): -225 meV/atom
* SG: F-43m



## Eu2AgN (PBE-GGA)

Data for Eu2AgN after structural relaxation.

Unit cell a=8.0500 b=8.0500 c=8.0500 alpha=26.55 beta=26.55 gamma=26.55
Fractional coordinates of all 4 atoms:
Eu 0.2257 0.2257 0.2257
Eu 0.7743 0.7743 0.7743
Ag 0.0000 0.0000 0.0000
N 0.5000 0.5000 0.5000

Results
* DFT total energy: -8.52 eV/atom
* E_form (uncorrected): -587 meV/atom
* SG: R-3m



## La6Pm3Nd2 (PBE-GGA)

Data for La6Pm3Nd2 after structural relaxation.

Unit cell a=6.4368 b=8.2586 c=8.2612 alpha=107.34 beta=96.99 gamma=104.92
Fractional coordinates of all 11 atoms:
La 0.0468 0.1815 0.4101
La 0.1364 0.5456 0.2291
La 0.3195 0.2727 0.8647
La 0.6805 0.7273 0.1353
La 0.8636 0.4544 0.7709
La 0.9532 0.8185 0.5899
Pm 0.4092 0.6376 0.6822
Pm 0.5000 0.0000 0.5000
Pm 0.5908 0.3624 0.3178
Nd 0.2274 0.9095 0.0467
Nd 0.7726 0.0905 0.9533

Results
* DFT total energy: -4.83 eV/atom
* SG: P-1